Record 1
A plane-wave DFT calculation with meta-GGA SCAN was carried out for a PBEsol-optimized structure of CrNi2.

## Properties
size of the total moment: 0.0 μB/f.u.
Fermi-level density of states: 4.15 states/eV/f.u.
formation energy from the elements: 0.083 eV per atom
VASP energy: -16.827 eV per atom

Unit cell a=3.434 b=3.544 c=5.486 alpha=71.16 beta=90.00 gamma=90.00
Atoms (fractional coordinates):
1 Ni 0.750 0.580 0.841
2 Ni 0.750 0.251 0.497
3 Ni 0.250 0.420 0.159
4 Ni 0.250 0.749 0.503
5 Cr 0.750 0.919 0.162
6 Cr 0.250 0.081 0.838

***

Record 2
A plane-wave DFT calculation with meta-GGA SCAN was carried out for a PBEsol-optimized structure of Ti3OsW.

## Properties
size of the total moment: 0.0 μB/f.u.
Fermi-level density of states: 7.20 states/eV/f.u.
formation energy from the elements: 0.975 eV per atom
VASP energy: -36.956 eV per atom
distance to the lowest polymorph of the same formula: 0 meV/atom

Unit cell a=4.589 b=4.589 c=4.589 alpha=90.00 beta=90.00 gamma=90.00
Atoms (fractional coordinates):
1 Ti 0.000 0.500 0.000
2 Ti 0.500 0.000 0.000
3 Ti 0.000 0.000 0.500
4 Os 0.000 0.000 0.000
5 W 0.500 0.500 0.500

***

Record 3
A plane-wave DFT calculation with meta-GGA SCAN was carried out for a PBEsol-optimized structure of InRu3Se.

## Properties
size of the total moment: 6.7 μB/f.u.
Fermi-level density of states: 5.15 states/eV/f.u.
formation energy from raw total energies: 2.092 eV per atom
VASP energy: -29.497 eV per atom
distance to the lowest polymorph of the same formula: 1324 meV/atom

Unit cell a=4.837 b=4.837 c=4.837 alpha=90.00 beta=90.00 gamma=90.00
Each line ends with the local moment (μB).
Atoms (fractional coordinates):
1 In 0.000 0.000 0.000  -0.16
2 Se 0.500 0.500 0.500  0.15
3 Ru 0.000 0.000 0.500  2.12
4 Ru 0.500 0.000 0.000  2.12
5 Ru 0.000 0.500 0.000  2.12

***

Q: Number 2 is which compound?
A: Ti3OsW